# 1
Pm2GdPa: relaxed, PBE.

Results
Its space group is No. 123. The crystal system is tetragonal. The calculation puts the formation energy at 0.256 eV/atom. The value obtained for the total energy is -32.05 eV per cell.

Cell lengths 4.9887, 4.9887, 4.9770 Å; angles 90.00, 90.00, 90.00 degrees
Last column: nearest neighbours and their distance in Å.
Fractional coordinates of all 4 atoms:
Pm 0.0000 0.5000 0.0000  4 Gd 3.52, 4 Pa 3.52, 4 Pm 3.53
Pm 0.5000 0.0000 0.0000  4 Gd 3.52, 4 Pa 3.52, 4 Pm 3.53
Gd 0.0000 0.0000 0.5000  8 Pm 3.52, 4 Pa 3.53
Pa 0.5000 0.5000 0.5000  8 Pm 3.52, 4 Gd 3.53



# 2
PmGdPa: relaxed, PBE.

Results
Its space group is No. 107. The crystal system is tetragonal. The calculation puts the formation energy at 0.163 eV/atom. The value obtained for the total energy is -27.84 eV per cell.

Cell lengths 8.1249, 8.1249, 8.1249 Å; angles 155.78, 155.78, 34.51 degrees
Last column: nearest neighbours and their distance in Å.
Fractional coordinates of all 3 atoms:
Pm 0.0000 0.0000 0.0000  4 Pm 3.41, 4 Pa 3.42
Gd 0.3080 0.3080 0.0000  4 Pa 3.37, 4 Gd 3.41
Pa 0.6560 0.6560 0.0000  4 Gd 3.37, 4 Pa 3.41, 4 Pm 3.42



# 3
PmGd2Pa: relaxed, PBE.

Results
Its space group is No. 123. The crystal system is tetragonal. The calculation puts the formation energy at 0.123 eV/atom. The value obtained for the total energy is -41.92 eV per cell.

Cell lengths 3.4295, 3.4295, 10.2926 Å; angles 90.00, 90.00, 90.00 degrees
Last column: nearest neighbours and their distance in Å.
Fractional coordinates of all 4 atoms:
Pm 0.0000 0.0000 0.0000  4 Pm 3.43, 8 Gd 3.71
Gd 0.5000 0.5000 0.2725  4 Pa 3.37, 4 Gd 3.43, 4 Pm 3.71
Gd 0.5000 0.5000 0.7275  4 Pa 3.37, 4 Gd 3.43, 4 Pm 3.71
Pa 0.0000 0.0000 0.5000  8 Gd 3.37, 4 Pa 3.43



# 4
PmGdPa: relaxed, PBE.

Results
Its space group is No. 156. The crystal system is trigonal. The calculation puts the formation energy at 0.150 eV/atom. The value obtained for the total energy is -27.88 eV per cell.

Cell lengths 3.4509, 3.4509, 8.6758 Å; angles 90.00, 90.00, 120.00 degrees
Last column: nearest neighbours and their distance in Å.
Fractional coordinates of all 3 atoms:
Pm 0.0000 0.0000 0.0000  3 Pa 3.41, 6 Pm 3.45, 3 Gd 3.76
Gd 0.3333 0.6667 0.6319  3 Pa 3.36, 6 Gd 3.45, 3 Pm 3.76
Pa 0.6667 0.3333 0.3195  3 Gd 3.36, 3 Pm 3.41, 6 Pa 3.45



Which formula does entry 1 have? Pm2GdPa



What did the fourth record say?
PmGdPa: relaxed, PBE.

Results
Its space group is No. 156. The crystal system is trigonal. The calculation puts the formation energy at 0.150 eV/atom. The value obtained for the total energy is -27.88 eV per cell.

Cell lengths 3.4509, 3.4509, 8.6758 Å; angles 90.00, 90.00, 120.00 degrees
Last column: nearest neighbours and their distance in Å.
Fractional coordinates of all 3 atoms:
Pm 0.0000 0.0000 0.0000  3 Pa 3.41, 6 Pm 3.45, 3 Gd 3.76
Gd 0.3333 0.6667 0.6319  3 Pa 3.36, 6 Gd 3.45, 3 Pm 3.76
Pa 0.6667 0.3333 0.3195  3 Gd 3.36, 3 Pm 3.41, 6 Pa 3.45